Entry from OQMD via LeMat-Bulk: an optimized crystal structure of ScGaCoRe (PBE).

Computed properties:
crystal system	cubic
ρ	10.15	g cm⁻³
volume	59	Å³/cell

Cell: 4.3666 4.3666 4.3666 Å, 60.00 60.00 60.00°
Closest atoms and distances in Å follow each position.
Atoms (fractional coordinates):
Sc  0.5000  0.5000  0.5000  4 Co 2.67, 4 Re 2.67
Re  0.2500  0.2500  0.2500  4 Sc 2.67, 4 Ga 2.67
Co  0.7500  0.7500  0.7500  4 Sc 2.67, 4 Ga 2.67
Ga  0.0000  0.0000  0.0000  4 Co 2.67, 4 Re 2.67

***

Entry from OQMD via LeMat-Bulk: an optimized crystal structure of Cd2Ir9 (PBE).

Computed properties:
formation energy from the elements	0.08	eV/atom
crystal system	trigonal
ρ	14.53	g cm⁻³
volume	223	Å³/cell

Cell: 2.7590 2.7590 33.8949 Å, 90.00 90.00 120.00°
Closest atoms and distances in Å follow each position.
Atoms (fractional coordinates):
Ir  0.3333  0.6667  0.4344  12 Ir 2.73-2.76
Ir  0.6667  0.3333  0.5656  12 Ir 2.73-2.76
Ir  0.6667  0.3333  0.3687  12 Ir 2.73-2.76
Ir  0.3333  0.6667  0.2384  9 Ir 2.72-2.76, 3 Cd 2.99
Ir  0.0000  0.0000  0.6966  12 Ir 2.72-2.76
Ir  0.0000  0.0000  0.5000  12 Ir 2.73-2.76
Ir  0.3333  0.6667  0.6313  12 Ir 2.73-2.76
Ir  0.6667  0.3333  0.7616  9 Ir 2.72-2.76, 3 Cd 2.99
Ir  0.0000  0.0000  0.3034  12 Ir 2.72-2.76
Cd  0.3333  0.6667  0.8362  6 Cd 2.76, 3 Ir 2.99
Cd  0.6667  0.3333  0.1638  6 Cd 2.76, 3 Ir 2.99

***

Entry from OQMD via LeMat-Bulk: an optimized crystal structure of Tm2ZnS4 (PBE).

Computed properties:
crystal system	orthorhombic
ρ	5.41	g cm⁻³
volume	652	Å³/cell

Cell: 13.3432 7.7762 6.2849 Å, 90.00 90.00 90.00°
Closest atoms and distances in Å follow each position.
Atoms (fractional coordinates):
S  0.0904  0.2500  0.2230  1 Zn 2.30
S  0.8311  0.5115  0.2420  1 Zn 2.37
S  0.1689  0.0115  0.7580  1 Zn 2.37
S  0.6689  0.0115  0.7420  1 Zn 2.37
S  0.5709  0.7500  0.2450  1 Zn 2.39
S  0.1689  0.4885  0.7580  1 Zn 2.37
S  0.9291  0.2500  0.7450  1 Zn 2.39
S  0.5904  0.2500  0.2770  1 Zn 2.30
S  0.3311  0.9885  0.2580  1 Zn 2.37
S  0.9096  0.7500  0.7770  1 Zn 2.30
S  0.4291  0.2500  0.7550  1 Zn 2.39
S  0.0709  0.7500  0.2550  1 Zn 2.39
S  0.6689  0.4885  0.7420  1 Zn 2.37
S  0.8311  0.9885  0.2420  1 Zn 2.37
S  0.4096  0.7500  0.7230  1 Zn 2.30
S  0.3311  0.5115  0.2580  1 Zn 2.37
Zn  0.4078  0.7500  0.0887  4 S 2.30-2.39
Zn  0.9078  0.7500  0.4113  4 S 2.30-2.39
Zn  0.0922  0.2500  0.5887  4 S 2.30-2.39
Zn  0.5922  0.2500  0.9113  4 S 2.30-2.39
Tm  0.7655  0.2500  0.4963  6 S 2.69-2.74
Tm  0.0000  0.0000  0.0000  6 S 2.68-2.72
Tm  0.5000  0.5000  0.5000  6 S 2.68-2.72
Tm  0.2345  0.7500  0.5037  6 S 2.69-2.74
Tm  0.5000  0.0000  0.5000  6 S 2.68-2.72
Tm  0.0000  0.5000  0.0000  6 S 2.68-2.72
Tm  0.7345  0.7500  0.9963  6 S 2.69-2.74
Tm  0.2655  0.2500  0.0037  6 S 2.69-2.74

***

Entry from OQMD via LeMat-Bulk: an optimized crystal structure of YAl2Ag (PBE).

Computed properties:
crystal system	cubic
ρ	5.30	g cm⁻³
volume	79	Å³/cell

Cell: 4.8081 4.8081 4.8081 Å, 60.00 60.00 60.00°
Closest atoms and distances in Å follow each position.
Atoms (fractional coordinates):
Al  0.0000  0.0000  0.0000  4 Y 2.94, 4 Al 2.94
Al  0.2500  0.2500  0.2500  4 Al 2.94, 4 Ag 2.94
Ag  0.5000  0.5000  0.5000  4 Y 2.94, 4 Al 2.94
Y  0.7500  0.7500  0.7500  4 Ag 2.94, 4 Al 2.94

***

no.,uncorrected energy (eV per formula unit)
1,-28.719
2,-80.552
3,-38.642
4,-17.710